Ni2Rh after structural relaxation. Source: the Alexandria database, functional PBE-GGA.

## Properties
* E_tot: -37.4 eV per cell
* E_form: 0.072 eV/atom

Structure (POSCAR):
```
Ni2Rh
1.0
2.615 0.000 0.000
-1.308 2.265 0.000
0.000 0.000 12.429
Ni Rh
4 2
direct
0.000 0.000 0.238 Ni
0.000 0.000 0.762 Ni
0.333 0.667 0.079 Ni
0.667 0.333 0.921 Ni
0.333 0.667 0.591 Rh
0.667 0.333 0.409 Rh
```